[1]
The following is a PBE calculation of a geometry-optimized Pm4AsP3 structure, from Alexandria via LeMat-Bulk.

DOS(E_F)	0.079	states/eV per atom
raw total energy	-6.54	eV/atom

Cell: 5.8797 5.8797 5.8797 Å, 90.00 90.00 90.00°
Space group Pm-3m (No. 221)
Asymmetric unit:
Pm  0.0000  0.0000  0.0000 [1 per cell]
Pm  0.0000  0.5000  0.5000 [3 per cell]
As  0.5000  0.5000  0.5000 [1 per cell]
P  0.0000  0.0000  0.5000 [3 per cell]

[2]
The following is a PBE calculation of a geometry-optimized Pm4As3P structure, from Alexandria via LeMat-Bulk.

DOS(E_F)	0.077	states/eV per atom
raw total energy	-6.33	eV/atom

Cell: 5.9548 5.9548 5.9548 Å, 90.00 90.00 90.00°
Space group Pm-3m (No. 221)
Asymmetric unit:
Pm  0.0000  0.0000  0.0000 [1 per cell]
Pm  0.0000  0.5000  0.5000 [3 per cell]
As  0.0000  0.0000  0.5000 [3 per cell]
P  0.5000  0.5000  0.5000 [1 per cell]

[3]
The following is a PBE calculation of a geometry-optimized PmAsP structure, from Alexandria via LeMat-Bulk.

relative energy among the computed polymorphs	29.4	meV per atom
DOS(E_F)	0.251	states/eV per atom

Cell: 4.3866 4.3866 3.8974 Å, 90.00 90.00 120.00°
Space group P-6m2 (No. 187)
Asymmetric unit:
Pm  0.0000  0.0000  0.0000 [1 per cell]
As  0.6667  0.3333  0.5000 [1 per cell]
P  0.3333  0.6667  0.5000 [1 per cell]

[4]
The following is a PBE calculation of a geometry-optimized PmAsP structure, from Alexandria via LeMat-Bulk.

relative energy among the computed polymorphs	0.0	meV per atom
DOS(E_F)	0.506	states/eV per atom

Cell: 3.9490 3.9490 9.3898 Å, 90.00 90.00 90.00°
Space group I4mm (No. 107)
Asymmetric unit:
Pm  0.0000  0.0000  0.0000 [2 per cell]
As  0.0000  0.0000  0.6566 [2 per cell]
P  0.0000  0.0000  0.4091 [2 per cell]